Entry 1:
The following is a PBE-GGA calculation of an optimized crystal structure of RbPr2PbSe4, from Alexandria via LeMat-Bulk.

Formation energy from raw total energies = -1390 meV/atom
Uncorrected energy = -4.9115 eV per atom
Size of the total moment = 0.0 μB per formula unit

Cell: 8.8969 8.8973 8.6062 Å, 118.92 118.91 89.70°
Last column: nearest neighbours and their distance in Å.
Sites, in units of the cell vectors:
Pb1 0.0000 0.0000 0.0000  6 Se 3.20-3.24
Se1 0.2682 0.7829 0.5255  3 Pr 2.99-3.05, 1 Pb 3.24, 2 Rb 3.33
Pr1 0.5000 0.0000 0.0000  6 Se 2.99-3.00
Se2 0.7389 0.7608 0.4920  3 Pr 3.00-3.11, 2 Pb 3.20-3.21, 1 Rb 3.28
Rb1 0.0000 0.5000 0.5000  6 Se 3.28-3.33
Se3 0.7392 0.7611 0.0080  3 Pr 3.00-3.11, 2 Pb 3.20-3.21, 1 Rb 3.28
Se4 0.2829 0.7681 0.0255  3 Pr 2.99-3.05, 1 Pb 3.24, 2 Rb 3.33
Rb2 0.0000 0.5000 0.0000  6 Se 3.28-3.33
Se5 0.2608 0.2389 0.9920  3 Pr 3.00-3.11, 2 Pb 3.20-3.21, 1 Rb 3.28
Pr2 0.5000 0.0000 0.5000  6 Se 2.99-3.00
Se6 0.2611 0.2392 0.5080  3 Pr 3.00-3.11, 2 Pb 3.20-3.21, 1 Rb 3.28
Se7 0.7171 0.2319 0.9745  3 Pr 2.99-3.05, 1 Pb 3.24, 2 Rb 3.33
Pb2 0.5000 0.5000 0.5000  6 Se 3.20-3.24
Se8 0.7318 0.2171 0.4745  3 Pr 2.99-3.05, 1 Pb 3.24, 2 Rb 3.33
Pr3 0.5000 0.5000 0.0000  6 Se 3.05-3.11
Pr4 0.0000 0.0000 0.5000  6 Se 3.05-3.11

---

Entry 2:
The following is a PBE-GGA calculation of an optimized crystal structure of CaY2Co, from Alexandria via LeMat-Bulk.

Uncorrected energy = -5.0692 eV per atom
Size of the total moment = 0.2 μB per formula unit
E above lowest polymorph = 0.535 eV per atom
Energy of formation = 0.440 eV per atom

Cell: 5.2199 5.2199 5.2199 Å, 60.00 60.00 60.00°
Last column: nearest neighbours and their distance in Å.
Sites, in units of the cell vectors:
Y1 0.2500 0.2500 0.2500  4 Ca 3.20, 4 Y 3.20
Y2 0.0000 0.0000 0.0000  4 Co 3.20, 4 Y 3.20
Ca1 0.5000 0.5000 0.5000  4 Y 3.20, 4 Co 3.20
Co1 0.7500 0.7500 0.7500  4 Ca 3.20, 4 Y 3.20

---

Entry 3:
The following is a PBE-GGA calculation of an optimized crystal structure of ZrSi3Ag, from Alexandria via LeMat-Bulk.

Formation energy from raw total energies = 1001 meV/atom
Uncorrected energy = -4.5324 eV per atom
Size of the total moment = 0.0 μB per formula unit
E above lowest polymorph = 0.091 eV per atom

Cell: 4.7601 4.7601 4.7601 Å, 90.00 90.00 90.00°
Last column: nearest neighbours and their distance in Å.
Sites, in units of the cell vectors:
Ag1 0.0000 0.0000 0.0000  6 Si 2.38
Si1 0.5000 0.0000 0.0000  2 Ag 2.38
Si2 0.0000 0.5000 0.0000  2 Ag 2.38
Zr1 0.5000 0.5000 0.5000  12 Si 3.37
Si3 0.0000 0.0000 0.5000  2 Ag 2.38